An optimized crystal structure of TiFe2Bi2PbO9, computed with GGA+U.

Computed properties:
Its crystal system is orthorhombic. The calculation puts the total energy at -6.677 eV/atom. For the offset from the most stable computed form, the calculation gives 0.0000 eV/atom. For the calculated volume, the calculation gives 418.4 Å³/cell.

a b c (Å): 5.384 16.090 4.829
angles (deg): 90.00 90.00 90.00
Space group Cmm2 (No. 35)
Unique sites:
Ti 0.000 0.000 0.000 (multiplicity 2)
Fe 0.000 0.336 0.011 (multiplicity 4)
Bi 0.000 0.174 0.582 (multiplicity 4)
Pb 0.000 0.500 0.560 (multiplicity 2)
O 0.000 0.000 0.363 (multiplicity 2)
O 0.000 0.319 0.392 (multiplicity 4)
O 0.244 0.084 0.878 (multiplicity 8)
O 0.250 0.250 0.863 (multiplicity 4)